# Pr8Ru3Br4N PBE relaxed
data_Pr8Ru3Br4N
_chemical_formula_sum 'Pr16 Ru6 Br8 N2'
_cell_length_a 14.013
_cell_length_b 8.095
_cell_length_c 9.159
_cell_angle_alpha 90.00
_cell_angle_beta 120.60
_cell_angle_gamma 90.00
_symmetry_space_group_name_H-M 'C 1 2/m 1'
_symmetry_Int_Tables_number 12
loop_
_symmetry_equiv_pos_as_xyz
'x,y,z'
'-x,-y,-z'
'-x,y,-z'
'x,-y,z'
'x+1/2,y+1/2,z'
'-x+1/2,-y+1/2,-z'
'-x+1/2,y+1/2,-z'
'x+1/2,-y+1/2,z'
loop_
_atom_site_label
_atom_site_fract_x
_atom_site_fract_y
_atom_site_fract_z
Pr1 0.018 0.237 0.316
Pr2 0.219 0.000 0.684
Pr3 0.236 0.500 0.707
Ru1 0.000 0.500 0.500
Ru2 0.250 0.250 0.500
Br1 0.000 0.000 0.000
Br2 0.000 0.500 0.000
Br3 0.250 0.250 0.000
N1 0.000 0.000 0.500
# - Formation energy without anion corrections: -86 kJ per mole of atoms

# SmMg2Sn3 PBE relaxed
data_SmMg2Sn3
_chemical_formula_sum 'Sm2 Mg4 Sn6'
_cell_length_a 4.725
_cell_length_b 14.445
_cell_length_c 4.397
_cell_angle_alpha 90.00
_cell_angle_beta 90.00
_cell_angle_gamma 90.00
_symmetry_space_group_name_H-M 'C m m m'
_symmetry_Int_Tables_number 65
_symmetry_space_group_name_Hall '-C 2 2'
loop_
_atom_site_label
_atom_site_fract_x
_atom_site_fract_y
_atom_site_fract_z
Sm1 0.000 0.000 0.000
Mg1 0.000 0.329 0.000
Sn1 0.000 0.171 0.500
Sn2 0.000 0.500 0.500
# - ΔE to the lowest computed polymorph: 0 meV per atom
# - Energy of formation: -2.32 eV/f.u.

# Np2H2SBr PBE relaxed
data_Np2H2SBr
_chemical_formula_sum 'Np2 H2 S1 Br1'
_cell_length_a 3.8379
_cell_length_b 3.8379
_cell_length_c 8.1191
_cell_angle_alpha 90.00
_cell_angle_beta 90.00
_cell_angle_gamma 120.00
_symmetry_space_group_name_H-M 'P -3 m 1'
_symmetry_Int_Tables_number 164
_symmetry_space_group_name_Hall '-P 3 2"'
loop_
_atom_site_label
_atom_site_fract_x
_atom_site_fract_y
_atom_site_fract_z
Np1 0.3333 0.6667 0.2122
H1 0.3333 0.6667 0.7567
S1 0.0000 0.0000 0.0000
Br1 0.0000 0.0000 0.5000
# - E_tot: -7.189 eV per atom

# Pm8ZnIn2 PBE relaxed
data_Pm8ZnIn2
_chemical_formula_sum 'Pm16 Zn2 In4'
_cell_length_a 19.126
_cell_length_b 5.315
_cell_length_c 6.884
_cell_angle_alpha 90.00
_cell_angle_beta 104.72
_cell_angle_gamma 90.00
_symmetry_space_group_name_H-M 'C 1 2/m 1'
_symmetry_Int_Tables_number 12
loop_
_symmetry_equiv_pos_as_xyz
'x,y,z'
'-x,-y,-z'
'-x,y,-z'
'x,-y,z'
'x+1/2,y+1/2,z'
'-x+1/2,-y+1/2,-z'
'-x+1/2,y+1/2,-z'
'x+1/2,-y+1/2,z'
loop_
_atom_site_label
_atom_site_fract_x
_atom_site_fract_y
_atom_site_fract_z
Pm1 0.013 0.000 0.273
Pm2 0.093 0.500 0.963
Pm3 0.153 0.500 0.475
Pm4 0.207 0.000 0.796
Zn1 0.000 0.500 0.500
In1 0.182 0.000 0.240
# - ΔE to the lowest computed polymorph: 20 meV per atom
# - Energy of formation: -2.26 eV/f.u.